## CaCuF5 (PBE)

Data for crystalline CaCuF5 at its relaxed geometry.

Lattice parameters (Å, degrees): 5.5050 5.5318 7.7647 110.55 96.38 109.40
Fractional coordinates of all 14 atoms:
Ca1 0.0463 0.2936 0.2466
Ca2 0.9537 0.7064 0.7534
Cu1 0.5000 0.0000 0.5000
Cu2 0.5000 0.5000 0.0000
F1 0.2026 0.7308 0.5269
F2 0.2240 0.1567 0.9794
F3 0.2375 0.5695 0.8741
F4 0.2806 0.1215 0.3927
F5 0.4244 0.6730 0.2384
F6 0.5756 0.3270 0.7616
F7 0.7194 0.8785 0.6073
F8 0.7625 0.4305 0.1259
F9 0.7760 0.8433 0.0206
F10 0.7974 0.2692 0.4731

The total moment is 1.00 μB/f.u. Its energy is -0.3429 Ry/atom. The uncorrected formation energy comes out at -17.20 eV per formula unit. The offset from the most stable computed form comes out at 0.000 eV/atom. Its crystal system is triclinic.